# Pa3Ni8Ru

Crystalline Pa3Ni8Ru at its relaxed geometry (PBE-GGA, Alexandria via LeMat-Bulk).

The structure in POSCAR format:
```
Pa3Ni8Ru
1.0
-1.2693 -4.6337 -1.1249
1.5706 -2.0350 -4.2119
6.8367 -5.0043 2.0769
Pa Ni Ru
3 8 1
Direct
0.3790 0.3790 0.8629
0.9855 0.9855 0.0435
0.5099 0.5099 0.4702
0.9416 0.4359 0.1865
0.4389 0.9377 0.6857
0.4359 0.4359 0.1865
0.9377 0.9377 0.6857
0.1869 0.1869 0.4392
0.6887 0.6887 0.9339
0.4359 0.9416 0.1865
0.9377 0.4389 0.6857
0.8721 0.8721 0.3836
```

* D(E_F): 0.987 states/eV/atom
* final energy: -7.38 eV per atom
* M_tot: 0.00 μB per cell